(1)
Computed, not measured: Sb2OsO2F14 after structural relaxation at the PBE level of DFT.

Size of the total moment in μB/f.u.: 0.0
Energy in eV/cell: -181.94
Space-group type: No. 2

abc: 7.116 8.219 9.572
angles: 97.66 110.92 111.92
Atoms (fractional coordinates):
Os1 0.184 0.762 0.744
Os2 0.816 0.238 0.256
F1 0.060 0.819 0.333
F2 0.683 0.952 0.771
F3 0.322 0.405 0.233
F4 0.783 0.574 0.416
F5 0.411 0.362 0.864
F6 0.879 0.555 0.057
F7 0.025 0.146 0.311
F8 0.387 0.008 0.865
F9 0.975 0.854 0.689
F10 0.591 0.287 0.132
F11 0.138 0.788 0.957
F12 0.509 0.327 0.503
F13 0.409 0.713 0.868
F14 0.491 0.673 0.497
F15 0.146 0.120 0.959
F16 0.317 0.048 0.229
F17 0.758 0.903 0.407
F18 0.589 0.638 0.136
F19 0.678 0.595 0.767
F20 0.242 0.097 0.593
F21 0.217 0.426 0.584
F22 0.862 0.212 0.043
F23 0.319 0.731 0.222
F24 0.854 0.880 0.041
F25 0.121 0.445 0.943
F26 0.613 0.992 0.135
F27 0.681 0.269 0.778
F28 0.940 0.181 0.667
Sb1 0.559 0.649 0.324
Sb2 0.441 0.351 0.676
Sb3 0.075 0.809 0.141
Sb4 0.925 0.191 0.859
O1 0.021 0.457 0.307
O2 0.239 0.761 0.587
O3 0.979 0.543 0.693
O4 0.761 0.239 0.413



(2)
Computed, not measured: OsXeO3F8 after structural relaxation at the PBE level of DFT.

Size of the total moment in μB/f.u.: 0.0
Energy in eV/cell: -399.55
Space-group type: No. 86

abc: 15.858 15.858 4.870
angles: 90.00 90.00 90.00
Atoms (fractional coordinates):
O1 0.145 0.583 0.626
O2 0.083 0.355 0.126
O3 0.466 0.070 0.841
O4 0.917 0.645 0.126
O5 0.695 0.146 0.352
O6 0.854 0.695 0.648
O7 0.355 0.917 0.874
O8 0.646 0.805 0.852
O9 0.966 0.570 0.659
O10 0.305 0.854 0.352
O11 0.430 0.966 0.341
O12 0.645 0.083 0.874
O13 0.534 0.930 0.841
O14 0.354 0.195 0.852
O15 0.583 0.855 0.374
O16 0.570 0.034 0.341
O17 0.930 0.466 0.159
O18 0.195 0.646 0.148
O19 0.034 0.430 0.659
O20 0.417 0.145 0.374
O21 0.146 0.305 0.648
O22 0.805 0.354 0.148
O23 0.070 0.534 0.159
O24 0.855 0.417 0.626
F1 0.810 0.101 0.647
F2 0.836 0.194 0.063
F3 0.426 0.447 0.377
F4 0.064 0.685 0.940
F5 0.961 0.794 0.871
F6 0.436 0.815 0.560
F7 0.744 0.817 0.449
F8 0.517 0.214 0.022
F9 0.899 0.810 0.353
F10 0.664 0.306 0.437
F11 0.461 0.294 0.629
F12 0.244 0.317 0.051
F13 0.694 0.664 0.563
F14 0.399 0.310 0.147
F15 0.683 0.244 0.949
F16 0.039 0.206 0.871
F17 0.190 0.899 0.647
F18 0.256 0.183 0.449
F19 0.806 0.836 0.937
F20 0.054 0.874 0.378
F21 0.574 0.553 0.377
F22 0.601 0.690 0.147
F23 0.017 0.714 0.478
F24 0.315 0.064 0.060
F25 0.483 0.786 0.022
F26 0.983 0.286 0.478
F27 0.374 0.446 0.878
F28 0.685 0.936 0.060
F29 0.874 0.946 0.622
F30 0.183 0.744 0.551
F31 0.074 0.053 0.123
F32 0.626 0.554 0.878
F33 0.706 0.461 0.371
F34 0.936 0.315 0.940
F35 0.214 0.483 0.978
F36 0.164 0.806 0.063
F37 0.714 0.983 0.522
F38 0.317 0.756 0.949
F39 0.539 0.706 0.629
F40 0.446 0.626 0.122
F41 0.053 0.926 0.877
F42 0.447 0.574 0.623
F43 0.286 0.017 0.522
F44 0.794 0.039 0.129
F45 0.553 0.426 0.623
F46 0.815 0.564 0.440
F47 0.194 0.164 0.937
F48 0.206 0.961 0.129
F49 0.947 0.074 0.877
F50 0.126 0.054 0.622
F51 0.926 0.947 0.123
F52 0.336 0.694 0.437
F53 0.185 0.436 0.440
F54 0.310 0.601 0.853
F55 0.564 0.185 0.560
F56 0.294 0.539 0.371
F57 0.306 0.336 0.563
F58 0.946 0.126 0.378
F59 0.786 0.517 0.978
F60 0.690 0.399 0.853
F61 0.817 0.256 0.551
F62 0.756 0.683 0.051
F63 0.554 0.374 0.122
F64 0.101 0.190 0.353
Os1 0.833 0.447 0.297
Os2 0.553 0.833 0.703
Os3 0.167 0.553 0.297
Os4 0.947 0.667 0.797
Os5 0.667 0.053 0.203
Os6 0.333 0.947 0.203
Os7 0.447 0.167 0.703
Os8 0.053 0.333 0.797
Xe1 0.098 0.821 0.720
Xe2 0.402 0.679 0.780
Xe3 0.902 0.179 0.720
Xe4 0.179 0.098 0.280
Xe5 0.321 0.402 0.220
Xe6 0.598 0.321 0.780
Xe7 0.679 0.598 0.220
Xe8 0.821 0.902 0.280



(3)
Computed, not measured: OsXeO4F6 after structural relaxation at the PBE level of DFT.

Size of the total moment in μB/f.u.: 0.0
Energy in eV/cell: -98.86
Space-group type: No. 2

abc: 4.845 7.407 8.805
angles: 81.15 83.14 88.75
Atoms (fractional coordinates):
F1 0.802 0.919 0.786
F2 0.198 0.081 0.214
F3 0.651 0.126 0.377
F4 0.902 0.384 0.120
F5 0.098 0.616 0.880
F6 0.801 0.483 0.427
F7 0.349 0.874 0.623
F8 0.553 0.668 0.051
F9 0.714 0.552 0.695
F10 0.199 0.517 0.573
F11 0.447 0.332 0.949
F12 0.286 0.448 0.305
O1 0.555 0.226 0.660
O2 0.740 0.033 0.081
O3 0.075 0.186 0.528
O4 0.260 0.967 0.919
O5 0.993 0.262 0.817
O6 0.007 0.738 0.183
O7 0.925 0.814 0.472
O8 0.445 0.774 0.340
Os1 0.877 0.320 0.640
Os2 0.123 0.680 0.360
Xe1 0.439 0.777 0.840
Xe2 0.561 0.223 0.160



(4)
Computed, not measured: TaPO2F6 after structural relaxation at the PBE level of DFT.

Size of the total moment in μB/f.u.: 0.0
Energy in eV/cell: -131.90
Space-group type: No. 2

abc: 5.084 6.704 6.955
angles: 87.77 84.49 79.12
Atoms (fractional coordinates):
F1 0.288 0.769 0.098
F2 0.798 0.608 0.728
F3 0.884 0.756 0.383
F4 0.116 0.244 0.617
F5 0.045 0.885 0.702
F6 0.712 0.231 0.902
F7 0.955 0.115 0.298
F8 0.377 0.676 0.473
F9 0.709 0.468 0.169
F10 0.623 0.324 0.527
F11 0.202 0.392 0.272
F12 0.291 0.532 0.831
O1 0.210 0.176 0.993
O2 0.450 0.042 0.294
O3 0.790 0.824 0.007
O4 0.550 0.958 0.706
P1 0.785 0.826 0.792
P2 0.215 0.174 0.208
Ta1 0.416 0.266 0.749
Ta2 0.584 0.734 0.251



(5)
Computed, not measured: Zn3PO4F3 after structural relaxation at the PBE level of DFT.

Energy in eV/cell: -55.40
Space-group type: No. 146

abc: 6.682 6.682 6.682
angles: 116.09 116.09 116.09
Atoms (fractional coordinates):
Zn1 0.347 0.405 0.694
Zn2 0.405 0.694 0.347
Zn3 0.694 0.347 0.405
O1 0.115 0.893 0.873
O2 0.433 0.433 0.433
O3 0.893 0.873 0.115
O4 0.873 0.115 0.893
F1 0.501 0.058 0.443
F2 0.443 0.501 0.058
F3 0.058 0.443 0.501
P1 0.039 0.039 0.039



(6)
Computed, not measured: PaO2F after structural relaxation at the PBE level of DFT.

Size of the total moment in μB/f.u.: 0.0
Energy in eV/cell: -66.55
Space-group type: No. 141

abc: 6.218 6.218 6.218
angles: 97.84 97.84 136.65
Atoms (fractional coordinates):
F1 0.000 0.000 0.000
F2 0.750 0.250 0.500
O1 0.875 0.625 0.250
O2 0.375 0.625 0.750
O3 0.375 0.125 0.750
O4 0.375 0.625 0.250
Pa1 0.250 0.750 0.500
Pa2 0.500 0.500 0.000



(7)
Computed, not measured: Zr3PbO4F6 after structural relaxation at the PBE level of DFT.

Size of the total moment in μB/f.u.: 0.0
Energy in eV/cell: -212.32
Space-group type: No. 225

abc: 7.713 7.713 7.713
angles: 60.00 60.00 60.00
Atoms (fractional coordinates):
Zr1 0.723 0.277 0.277
Zr2 0.723 0.277 0.723
Zr3 0.277 0.723 0.277
Zr4 0.277 0.723 0.723
Zr5 0.277 0.277 0.723
Zr6 0.723 0.723 0.277
F1 0.000 0.329 0.000
F2 0.329 0.000 0.000
F3 0.671 0.000 0.329
F4 0.000 0.000 0.329
F5 0.329 0.671 0.000
F6 0.000 0.000 0.671
F7 0.000 0.671 0.329
F8 0.000 0.671 0.000
F9 0.329 0.000 0.671
F10 0.000 0.329 0.671
F11 0.671 0.000 0.000
F12 0.671 0.329 0.000
O1 0.149 0.617 0.617
O2 0.383 0.383 0.383
O3 0.617 0.617 0.149
O4 0.617 0.617 0.617
O5 0.383 0.383 0.851
O6 0.617 0.149 0.617
O7 0.383 0.851 0.383
O8 0.851 0.383 0.383
Pb1 0.750 0.750 0.750
Pb2 0.250 0.250 0.250



(8)
Computed, not measured: Pd2OF2 after structural relaxation at the PBE level of DFT.

Energy in eV/cell: -46.23
Space-group type: No. 141
Distance to the lowest polymorph of the same formula in eV/f.u.: 0.00

abc: 6.594 6.594 6.594
angles: 125.76 125.76 80.28
Atoms (fractional coordinates):
F1 0.484 0.984 0.500
F2 0.734 0.734 0.000
F3 0.266 0.266 0.000
F4 0.016 0.516 0.500
O1 0.750 0.250 0.500
O2 0.000 0.000 0.000
Pd1 0.875 0.125 0.750
Pd2 0.375 0.125 0.250
Pd3 0.875 0.125 0.250
Pd4 0.875 0.625 0.750



(9)
Computed, not measured: PdOF2 after structural relaxation at the PBE level of DFT.

Energy in eV/cell: -16.31
Space-group type: No. 71
Distance to the lowest polymorph of the same formula in eV/f.u.: 0.51

abc: 3.322 3.705 4.686
angles: 113.28 110.76 90.00
Atoms (fractional coordinates):
F1 0.658 0.158 0.316
F2 0.342 0.842 0.684
Pd1 0.000 0.000 0.000
O1 0.000 0.500 0.000



(10)
Computed, not measured: PdOF2 after structural relaxation at the PBE level of DFT.

Energy in eV/cell: -63.43
Space-group type: No. 12
Distance to the lowest polymorph of the same formula in eV/f.u.: 0.96

abc: 8.781 3.018 7.382
angles: 90.00 117.27 90.00
Atoms (fractional coordinates):
F1 0.741 0.507 0.121
F2 0.157 0.008 0.555
F3 0.259 0.508 0.879
F4 0.241 0.008 0.122
F5 0.658 0.508 0.555
F6 0.759 0.007 0.878
F7 0.842 0.008 0.445
F8 0.342 0.508 0.445
Pd1 0.125 0.508 0.188
Pd2 0.875 0.508 0.812
Pd3 0.625 0.008 0.188
Pd4 0.375 0.008 0.812
O1 0.016 0.008 0.246
O2 0.516 0.508 0.246
O3 0.984 0.007 0.754
O4 0.484 0.508 0.754



(11)
Computed, not measured: PdOF2 after structural relaxation at the PBE level of DFT.

Energy in eV/cell: -65.39
Space-group type: No. 4
Distance to the lowest polymorph of the same formula in eV/f.u.: 0.47

abc: 5.045 7.158 4.740
angles: 90.00 97.77 90.00
Atoms (fractional coordinates):
F1 0.148 0.013 0.781
F2 0.486 0.716 0.802
F3 0.756 0.361 0.714
F4 0.244 0.861 0.286
F5 0.636 0.049 0.763
F6 0.852 0.513 0.219
F7 0.364 0.549 0.237
F8 0.514 0.216 0.198
O1 0.992 0.681 0.792
O2 0.294 0.368 0.650
O3 0.008 0.181 0.208
O4 0.706 0.868 0.350
Pd1 0.907 0.916 0.043
Pd2 0.093 0.416 0.957
Pd3 0.687 0.625 0.518
Pd4 0.313 0.125 0.482



(12)
Computed, not measured: Pd2OF2 after structural relaxation at the PBE level of DFT.

Energy in eV/cell: -45.38
Space-group type: No. 1
Distance to the lowest polymorph of the same formula in eV/f.u.: 0.43

abc: 5.052 4.885 6.263
angles: 117.26 106.74 92.80
Atoms (fractional coordinates):
F1 0.723 0.417 0.655
F2 0.784 0.761 0.370
F3 0.208 0.229 0.618
F4 0.256 0.572 0.396
Pd1 0.159 0.788 0.185
Pd2 0.944 0.165 0.803
Pd3 0.511 0.351 0.187
Pd4 0.464 0.675 0.818
O1 0.210 0.958 0.965
O2 0.741 0.084 0.004



(13)
Computed, not measured: Pd2OF2 after structural relaxation at the PBE level of DFT.

Energy in eV/cell: -83.63
Space-group type: No. 137
Distance to the lowest polymorph of the same formula in eV/f.u.: 2.21

abc: 6.947 6.947 4.980
angles: 90.00 90.00 90.00
Atoms (fractional coordinates):
F1 0.067 0.567 0.750
F2 0.433 0.933 0.750
F3 0.433 0.567 0.750
F4 0.567 0.433 0.250
F5 0.933 0.433 0.250
F6 0.567 0.067 0.250
F7 0.067 0.933 0.750
F8 0.933 0.067 0.250
Pd1 0.750 0.499 0.904
Pd2 0.501 0.250 0.596
Pd3 0.499 0.750 0.404
Pd4 0.001 0.750 0.404
Pd5 0.999 0.250 0.596
Pd6 0.250 0.999 0.096
Pd7 0.750 0.001 0.904
Pd8 0.250 0.501 0.096
O1 0.250 0.250 0.892
O2 0.750 0.750 0.108
O3 0.250 0.250 0.392
O4 0.750 0.750 0.608



(14)
Computed, not measured: Pd2OF2 after structural relaxation at the PBE level of DFT.

Energy in eV/cell: -43.39
Space-group type: No. 72
Distance to the lowest polymorph of the same formula in eV/f.u.: 1.42

abc: 5.700 5.700 5.700
angles: 121.51 83.52 126.17
Atoms (fractional coordinates):
Pd1 0.419 0.763 0.182
Pd2 0.081 0.263 0.344
Pd3 0.581 0.237 0.818
Pd4 0.919 0.737 0.656
O1 0.750 0.750 0.000
O2 0.250 0.250 0.000
F1 0.819 0.369 0.188
F2 0.319 0.131 0.451
F3 0.681 0.869 0.549
F4 0.181 0.631 0.812